#a
Density functional theory data (PBE) for a relaxed structure of Pr3NdHg4.

abc: 5.4462 5.4463 8.6486
angles: 108.29 108.28 90.23
With the nearest neighbours (Å) after each atom.
Fractional positions:
Hg  0.1242  0.1243  0.2484  2 Nd 3.33, 6 Pr 3.33-3.35
Hg  0.3758  0.3757  0.7516  6 Pr 3.33-3.35, 2 Nd 3.33
Hg  0.8758  0.8757  0.7516  2 Nd 3.33, 6 Pr 3.33-3.35
Hg  0.6242  0.6243  0.2484  6 Pr 3.33-3.35, 2 Nd 3.33
Pr  0.7495  0.2494  0.4990  8 Hg 3.34-3.35
Pr  0.2505  0.7506  0.5010  8 Hg 3.34-3.35
Pr  0.0000  0.5000  0.0000  8 Hg 3.33
Nd  0.5000  0.0000  0.0000  8 Hg 3.33

Results
V ... 28.72 A^3/atom
Density of states at the Fermi level ... 7.79 states/eV per cell



#b
Density functional theory data (PBE) for a relaxed structure of Pr3NdHg4.

abc: 3.8782 7.7944 9.3545
angles: 114.61 101.96 90.00
With the nearest neighbours (Å) after each atom.
Fractional positions:
Nd  0.5000  0.0000  0.0000  4 Hg 3.17
Pr  0.2012  0.2011  0.4025  6 Hg 3.20-3.25
Pr  0.7988  0.7989  0.5975  6 Hg 3.20-3.25
Pr  0.0000  0.5000  0.0000  8 Hg 3.30
Hg  0.6305  0.8323  0.2610  1 Hg 3.15, 1 Nd 3.17, 5 Pr 3.20-3.30
Hg  0.3695  0.1677  0.7390  1 Hg 3.15, 1 Nd 3.17, 5 Pr 3.20-3.30
Hg  0.3694  0.5714  0.7388  1 Hg 3.15, 1 Nd 3.17, 5 Pr 3.20-3.30
Hg  0.6306  0.4286  0.2612  1 Hg 3.15, 1 Nd 3.17, 5 Pr 3.20-3.30

Results
V ... 31.29 A^3/atom
Density of states at the Fermi level ... 7.64 states/eV per cell



Q: Which of them is the most stable? A: #a.



#a
Density functional theory data (PBE) for a relaxed structure of Pr3NdHg.

abc: 7.0373 7.0373 9.1005
angles: 87.16 121.09 113.35
With the nearest neighbours (Å) after each atom.
Fractional positions:
Pr  0.8243  0.4366  0.2609  2 Hg 3.43-3.56, 7 Pr 3.61-3.68
Pr  0.2380  0.4109  0.1487  2 Hg 3.31, 3 Nd 3.61-3.67, 3 Pr 3.61-3.68
Pr  0.2622  0.0893  0.8513  2 Hg 3.31, 3 Nd 3.61-3.67, 3 Pr 3.61-3.68
Pr  0.7620  0.5891  0.8513  2 Hg 3.31, 3 Nd 3.61-3.67, 3 Pr 3.61-3.68
Pr  0.7378  0.9107  0.1487  2 Hg 3.31, 3 Nd 3.61-3.67, 3 Pr 3.61-3.68
Pr  0.1757  0.5634  0.7391  2 Hg 3.43-3.56, 7 Pr 3.61-3.68
Nd  0.3225  0.9365  0.2590  2 Hg 3.38-3.50, 6 Pr 3.61-3.67, 1 Nd 3.69
Nd  0.6775  0.0635  0.7410  2 Hg 3.38-3.50, 6 Pr 3.61-3.67, 1 Nd 3.69
Hg  0.2529  0.2471  0.5000  6 Pr 3.31-3.56, 2 Nd 3.38-3.50
Hg  0.7471  0.7529  0.5000  6 Pr 3.31-3.56, 2 Nd 3.38-3.50

Results
V ... 34.74 A^3/atom
Density of states at the Fermi level ... 11.25 states/eV per cell



#b
Density functional theory data (PBE) for a relaxed structure of Pr3NdHg.

abc: 3.7783 5.7778 15.3754
angles: 89.87 97.06 90.00
With the nearest neighbours (Å) after each atom.
Fractional positions:
Pr  0.3409  0.7493  0.6819  8 Pr 3.57-3.89, 4 Nd 3.67-3.79
Pr  0.9523  0.7387  0.9046  6 Hg 3.30-3.49
Pr  0.8720  0.2472  0.7440  2 Hg 3.26, 4 Pr 3.57-3.59
Pr  0.1280  0.7528  0.2560  2 Hg 3.26, 4 Pr 3.57-3.59
Pr  0.6591  0.2507  0.3181  8 Pr 3.57-3.89, 4 Nd 3.67-3.79
Pr  0.0477  0.2613  0.0954  6 Hg 3.30-3.49
Nd  0.2666  0.2490  0.5332  6 Nd 3.59-3.78, 6 Pr 3.67-3.79
Nd  0.7334  0.7510  0.4668  6 Nd 3.59-3.78, 6 Pr 3.67-3.79
Hg  0.5408  0.7676  0.0817  8 Pr 3.26-3.49
Hg  0.4592  0.2324  0.9183  8 Pr 3.26-3.49

Results
V ... 33.31 A^3/atom
Density of states at the Fermi level ... 12.49 states/eV per cell



Q: Which of them is the most stable? A: #b.



#a
Density functional theory data (PBE) for a relaxed structure of PrNd4Hg2.

abc: 8.9454 8.9453 8.9436
angles: 135.21 105.53 91.30
With the nearest neighbours (Å) after each atom.
Fractional positions:
Hg  0.6250  0.8750  0.2500  6 Nd 3.09-3.30, 2 Hg 3.41
Hg  0.6250  0.3749  0.2500  4 Nd 3.24
Hg  0.6250  0.3750  0.7500  6 Nd 3.09-3.30, 2 Hg 3.41
Hg  0.1250  0.3750  0.7500  4 Nd 3.24
Nd  0.3776  0.6393  0.2616  3 Hg 3.09-3.24, 1 Nd 3.25, 1 Pr 3.25
Nd  0.9572  0.7216  0.2356  2 Hg 3.30, 1 Pr 3.30, 2 Nd 3.56
Nd  0.8725  0.1107  0.2385  3 Hg 3.09-3.24, 1 Nd 3.25, 1 Pr 3.25
Nd  0.4860  0.7216  0.7644  2 Hg 3.30, 1 Pr 3.30, 2 Nd 3.56
Nd  0.2928  0.0283  0.2644  2 Hg 3.30, 1 Pr 3.30, 2 Nd 3.56
Nd  0.3778  0.1161  0.7385  3 Hg 3.09-3.24, 1 Nd 3.25, 1 Pr 3.25
Nd  0.8723  0.6340  0.7615  3 Hg 3.09-3.24, 1 Nd 3.25, 1 Pr 3.25
Nd  0.7639  0.0284  0.7356  2 Hg 3.30, 1 Pr 3.30, 2 Nd 3.56
Pr  0.0900  0.5900  0.5000  4 Nd 3.25-3.30, 2 Pr 3.52
Pr  0.1600  0.1600  0.0000  4 Nd 3.25-3.30, 2 Pr 3.52

Results
V ... 32.95 A^3/atom
Density of states at the Fermi level ... 17.13 states/eV per cell



#b
Density functional theory data (PBE) for a relaxed structure of PrNd4Hg2.

abc: 3.7308 10.5883 14.4111
angles: 122.19 82.56 79.85
With the nearest neighbours (Å) after each atom.
Fractional positions:
Hg  0.2989  0.2522  0.1500  4 Pr 3.23-3.57, 5 Nd 3.23-3.56
Hg  0.3323  0.8640  0.4713  2 Hg 3.09, 6 Nd 3.15-3.40
Hg  0.7011  0.7478  0.8500  4 Pr 3.23-3.57, 5 Nd 3.23-3.56
Hg  0.6677  0.1360  0.5287  2 Hg 3.09, 6 Nd 3.15-3.40
Pr  0.0399  0.0285  0.8917  4 Hg 3.23-3.57, 1 Pr 3.47, 1 Nd 3.50
Pr  0.9601  0.9715  0.1083  4 Hg 3.23-3.57, 1 Pr 3.47, 1 Nd 3.50
Nd  0.5678  0.5024  0.3619  3 Hg 3.15-3.23
Nd  0.0301  0.2050  0.7347  3 Hg 3.20-3.40
Nd  0.2545  0.5640  0.9269  2 Hg 3.28, 1 Pr 3.50, 4 Nd 3.58-3.65
Nd  0.9699  0.7950  0.2653  3 Hg 3.20-3.40
Nd  0.7455  0.4360  0.0731  2 Hg 3.28, 1 Pr 3.50, 4 Nd 3.58-3.65
Nd  0.2180  0.1922  0.3718  3 Hg 3.22-3.56
Nd  0.4322  0.4976  0.6381  3 Hg 3.15-3.23
Nd  0.7820  0.8078  0.6282  3 Hg 3.22-3.56

Results
V ... 32.63 A^3/atom
Density of states at the Fermi level ... 19.22 states/eV per cell



Q: Which of them is the most stable? A: #b.



#a
Density functional theory data (PBE) for a relaxed structure of PrNd4Hg.

abc: 6.5752 9.2951 8.4471
angles: 113.60 100.21 112.65
With the nearest neighbours (Å) after each atom.
Fractional positions:
Nd  0.2379  0.2865  0.3749  2 Hg 3.24-3.25, 3 Nd 3.42-3.50
Nd  0.3629  0.9116  0.6251  2 Hg 3.24-3.25, 3 Nd 3.42-3.50
Nd  0.6371  0.0884  0.3749  2 Hg 3.24-3.25, 3 Nd 3.42-3.50
Nd  0.9602  0.8344  0.2311  2 Hg 3.35, 3 Nd 3.42-3.75, 2 Pr 3.51-3.66
Nd  0.2291  0.6034  0.7689  2 Hg 3.35, 3 Nd 3.42-3.75, 2 Pr 3.51-3.66
Nd  0.7621  0.7135  0.6251  2 Hg 3.24-3.25, 3 Nd 3.42-3.50
Nd  0.0398  0.1656  0.7689  2 Hg 3.35, 3 Nd 3.42-3.75, 2 Pr 3.51-3.66
Nd  0.7709  0.3966  0.2311  2 Hg 3.35, 3 Nd 3.42-3.75, 2 Pr 3.51-3.66
Pr  0.6580  0.4080  0.8160  8 Nd 3.51-3.70
Pr  0.3420  0.5920  0.1840  8 Nd 3.51-3.70
Hg  0.2515  0.0015  0.0030  8 Nd 3.24-3.35, 2 Hg 3.29
Hg  0.7485  0.9985  0.9970  8 Nd 3.24-3.35, 2 Hg 3.29

Results
V ... 33.47 A^3/atom
Density of states at the Fermi level ... 16.83 states/eV per cell



#b
Density functional theory data (PBE) for a relaxed structure of PrNd4Hg.

abc: 3.7215 3.7215 14.3540
angles: 90.00 90.00 90.00
With the nearest neighbours (Å) after each atom.
Fractional positions:
Hg  0.5000  0.5000  0.5000  8 Nd 3.32
Nd  0.5000  0.5000  0.1807  8 Nd 3.67-3.72, 4 Pr 3.69
Nd  0.0000  0.0000  0.3588  4 Hg 3.32, 4 Nd 3.67
Nd  0.0000  0.0000  0.6412  4 Hg 3.32, 4 Nd 3.67
Nd  0.5000  0.5000  0.8193  8 Nd 3.67-3.72, 4 Pr 3.69
Pr  0.0000  0.0000  0.0000  8 Nd 3.69, 4 Pr 3.72

Results
V ... 33.13 A^3/atom
Density of states at the Fermi level ... 8.00 states/eV per cell



Q: Which of them is the most stable? A: #b.